## one
## PaZnOsRu (PBE)

Data for a relaxed PaZnOsRu crystal.

Lattice parameters (Å, degrees): 4.611 4.611 4.611 60.00 60.00 60.00
Element x y z (fractional)
Pa  0.000  0.000  0.000
Zn  0.500  0.500  0.500
Os  0.750  0.750  0.750
Ru  0.250  0.250  0.250

Size of the total moment: 0.0 μB per formula unit
Space-group type: F-43m, No. 216


## two
## PaZnOsRu (PBE)

Data for a relaxed PaZnOsRu crystal.

Lattice parameters (Å, degrees): 3.696 4.254 4.283 90.00 90.00 90.00
Element x y z (fractional)
Pa  0.000  0.000  0.000
Zn  0.000  0.500  0.500
Os  0.500  0.000  0.500
Ru  0.500  0.500  0.000

Size of the total moment: 0.0 μB per formula unit
Space-group type: Pmmm, No. 47


Going by the computed energies, the most stable comes first: two, one.